A relaxed La5As2Se2 crystal. Source: Alexandria, functional PBE.

extended XYZ file:
```
18
Lattice="-6.491 4.620 -1.630 -3.617 -6.308 -3.479 -1.289 1.193 8.515" Properties=species:S:1:pos:R:3 pbc="T T T"
La -6.123 -4.244 -1.662
La -5.657 1.496 0.212
La 0.000 0.000 0.000
Se -6.269 -1.614 0.105
As -2.826 0.711 -1.086
La -5.740 -1.992 3.194
Se -5.127 1.118 3.302
La -3.075 -1.972 0.389
Se -1.216 -0.770 2.659
La -5.054 -0.844 -2.554
As -3.287 -3.402 -2.487
La -5.273 3.748 5.069
Se -3.690 -4.346 2.377
As -7.282 -2.399 -4.023
La -8.705 -0.775 -1.838
As -6.821 1.714 -2.621
La -8.321 1.476 3.018
La -2.692 0.280 5.245
```

Summary:
Total magnetic moment (μB/cell): 0.00
Volume (Å³/atom): 28.1
Fermi-level density of states (states/eV per cell): 15.9
Energy relative to the elements, uncorrected (eV per formula unit): -13.349
Symmetry: Cmce (64)